1.
{
  "formula": "NbCoRh2O6",
  "functional": "GGA+U",
  "state": "relaxed",
  "cell": [[5.1599, -0.0210, 0.0125], [2.5644, 4.5280, 0.1903], [2.5870, 1.7152, 4.9770]],
  "species": ["O", "Co", "O", "Rh", "O", "O", "Nb", "O", "O", "Rh"],
  "frac_coords": [[0.1114, 0.4263, 0.7499], [0.8186, 0.8300, 0.5573], [0.5702, 0.2505, 0.2612], [0.0145, 0.0052, 0.9631], [0.7118, 0.1011, 0.7626], [0.4486, 0.7034, 0.7263], [0.3176, 0.3370, 0.0501], [0.2333, 0.9270, 0.2378], [0.9232, 0.5771, 0.2358], [0.5124, 0.5040, 0.4711]],
  "crystal_system": "triclinic",
  "space_group": "No. 1"
}

***

2.
{
  "formula": "Mn3NbO6",
  "functional": "GGA+U",
  "state": "relaxed",
  "cell": [[-1.5166, 2.1091, 4.4975], [-5.1654, -0.9266, -1.3073], [0.4557, -7.3515, 3.4099]],
  "species": ["O", "O", "O", "O", "O", "Mn", "Mn", "Mn", "Mn", "Mn", "O", "O", "O", "O", "O", "Nb", "Mn", "Nb", "O", "O"],
  "frac_coords": [[0.8109, 0.7030, 0.4391], [0.1998, 0.3028, 0.9205], [0.8002, 0.6972, 0.0795], [0.8678, 0.9393, 0.7702], [0.6998, 0.1972, 0.4205], [0.9781, 0.4461, 0.2563], [0.5000, 0.5000, 0.0000], [0.4781, 0.0539, 0.7563], [0.5219, 0.9461, 0.2437], [0.0219, 0.5539, 0.7437], [0.6322, 0.4393, 0.7298], [0.3678, 0.5607, 0.2702], [0.6891, 0.2030, 0.0609], [0.3002, 0.8028, 0.5795], [0.1891, 0.2970, 0.5609], [0.0000, 0.0000, 0.0000], [0.0000, 0.0000, 0.5000], [0.5000, 0.5000, 0.5000], [0.1322, 0.0607, 0.2298], [0.3109, 0.7970, 0.9391]],
  "crystal_system": "monoclinic",
  "space_group": "No. 14"
}

***

Number 1: E -7.23 eV per atom, total moment 4.0 Bohr magnetons per cell. Number 2: E -8.17 eV per atom, total moment 28.0 Bohr magnetons per cell.